Entry 1:
# Ac2YTmAs4, optimized geometry, DFT PBE-GGA
# Formation enthalpy at 0 K   -1467 meV per atom
# Density of states at the Fermi level   0.7 states/eV/f.u.
data_Ac2YTmAs4
_chemical_formula_sum 'Ac2 Y1 Tm1 As4'
_cell_length_a 7.487
_cell_length_b 4.327
_cell_length_c 7.490
_cell_angle_alpha 90.00
_cell_angle_beta 109.46
_cell_angle_gamma 90.00
_symmetry_space_group_name_H-M 'P 1 2/m 1'
_symmetry_Int_Tables_number 10
loop_
_symmetry_equiv_pos_as_xyz
'x,y,z'
'-x,-y,-z'
'-x,y,-z'
'x,-y,z'
loop_
_atom_site_label
_atom_site_type_symbol
_atom_site_fract_x
_atom_site_fract_y
_atom_site_fract_z
Ac1 Ac 0.000 0.000 0.000
Ac2 Ac 0.000 0.500 0.500
Y1 Y 0.500 0.000 0.500
Tm1 Tm 0.500 0.500 0.000
As1 As 0.274 0.500 0.256
As2 As 0.275 0.000 0.760

Entry 2:
# Ac4UAs5, optimized geometry, DFT PBE-GGA
# Formation enthalpy at 0 K   -1281 meV per atom
# Density of states at the Fermi level   8.1 states/eV/f.u.
data_Ac4UAs5
_chemical_formula_sum 'Ac8 U2 As10'
_cell_length_a 9.961
_cell_length_b 9.961
_cell_length_c 6.312
_cell_angle_alpha 90.00
_cell_angle_beta 90.00
_cell_angle_gamma 90.00
_symmetry_space_group_name_H-M 'I 4/m'
_symmetry_Int_Tables_number 87
_symmetry_space_group_name_Hall '-I 4'
loop_
_atom_site_label
_atom_site_type_symbol
_atom_site_fract_x
_atom_site_fract_y
_atom_site_fract_z
Ac1 Ac 0.096 0.700 0.000
U1 U 0.000 0.000 0.500
As1 As 0.000 0.000 0.000
As2 As 0.094 0.719 0.500

Entry 3:
# AcUAs3, optimized geometry, DFT PBE-GGA
# Formation enthalpy at 0 K   -638 meV per atom
# Density of states at the Fermi level   1.9 states/eV/f.u.
data_AcUAs3
_chemical_formula_sum 'Ac1 U1 As3'
_cell_length_a 5.313
_cell_length_b 5.313
_cell_length_c 5.313
_cell_angle_alpha 90.00
_cell_angle_beta 90.00
_cell_angle_gamma 90.00
_symmetry_space_group_name_H-M 'P m -3 m'
_symmetry_Int_Tables_number 221
_symmetry_space_group_name_Hall '-P 4 2 3'
loop_
_atom_site_label
_atom_site_type_symbol
_atom_site_fract_x
_atom_site_fract_y
_atom_site_fract_z
Ac1 Ac 0.000 0.000 0.000
U1 U 0.500 0.500 0.500
As1 As 0.000 0.500 0.500

Entry 4:
# AcUAs2, optimized geometry, DFT PBE-GGA
# Formation enthalpy at 0 K   -1052 meV per atom
# Density of states at the Fermi level   5.6 states/eV/f.u.
data_AcUAs2
_chemical_formula_sum 'Ac3 U3 As6'
_cell_length_a 4.2616
_cell_length_b 4.2616
_cell_length_c 21.5773
_cell_angle_alpha 90.00
_cell_angle_beta 90.00
_cell_angle_gamma 120.00
_symmetry_space_group_name_H-M 'R -3 m'
_symmetry_Int_Tables_number 166
_symmetry_space_group_name_Hall '-R 3 2"'
loop_
_atom_site_label
_atom_site_type_symbol
_atom_site_fract_x
_atom_site_fract_y
_atom_site_fract_z
Ac1 Ac 0.0000 0.0000 0.0000
U1 U 0.0000 0.0000 0.5000
As1 As 0.0000 0.0000 0.2402

Entry 5:
# AcUAs2, optimized geometry, DFT PBE-GGA
# Formation enthalpy at 0 K   -687 meV per atom
# Density of states at the Fermi level   4.9 states/eV/f.u.
data_AcUAs2
_chemical_formula_sum 'Ac4 U4 As8'
_cell_length_a 7.397
_cell_length_b 7.397
_cell_length_c 7.397
_cell_angle_alpha 90.00
_cell_angle_beta 90.00
_cell_angle_gamma 90.00
_symmetry_space_group_name_H-M 'F m -3 m'
_symmetry_Int_Tables_number 225
_symmetry_space_group_name_Hall '-F 4 2 3'
loop_
_atom_site_label
_atom_site_type_symbol
_atom_site_fract_x
_atom_site_fract_y
_atom_site_fract_z
Ac1 Ac 0.000 0.000 0.000
U1 U 0.000 0.000 0.500
As1 As 0.250 0.250 0.250

Entry 6:
# AcUAs, optimized geometry, DFT PBE-GGA
# Formation enthalpy at 0 K   -177 meV per atom
# Density of states at the Fermi level   6.7 states/eV/f.u.
data_AcUAs
_chemical_formula_sum 'Ac4 U4 As4'
_cell_length_a 6.219
_cell_length_b 9.222
_cell_length_c 6.117
_cell_angle_alpha 90.00
_cell_angle_beta 90.00
_cell_angle_gamma 90.00
_symmetry_space_group_name_H-M 'C m c m'
_symmetry_Int_Tables_number 63
_symmetry_space_group_name_Hall '-C 2c 2'
loop_
_atom_site_label
_atom_site_type_symbol
_atom_site_fract_x
_atom_site_fract_y
_atom_site_fract_z
Ac1 Ac 0.000 0.140 0.250
U1 U 0.000 0.500 0.000
As1 As 0.000 0.220 0.750

Entry 7:
# AcUAs, optimized geometry, DFT PBE-GGA
# Formation enthalpy at 0 K   -204 meV per atom
# Density of states at the Fermi level   7.0 states/eV/f.u.
data_AcUAs
_chemical_formula_sum 'Ac2 U2 As2'
_cell_length_a 3.790
_cell_length_b 3.790
_cell_length_c 12.236
_cell_angle_alpha 90.00
_cell_angle_beta 90.00
_cell_angle_gamma 90.00
_symmetry_space_group_name_H-M 'I 4 m m'
_symmetry_Int_Tables_number 107
_symmetry_space_group_name_Hall 'I 4 -2'
loop_
_atom_site_label
_atom_site_type_symbol
_atom_site_fract_x
_atom_site_fract_y
_atom_site_fract_z
Ac1 Ac 0.000 0.000 0.000
U1 U 0.000 0.000 0.272
As1 As 0.000 0.000 0.670

Entry 8:
# AcUAs2, optimized geometry, DFT PBE-GGA
# Formation enthalpy at 0 K   -1037 meV per atom
# Density of states at the Fermi level   5.9 states/eV/f.u.
data_AcUAs2
_chemical_formula_sum 'Ac2 U2 As4'
_cell_length_a 4.2384
_cell_length_b 4.2384
_cell_length_c 14.4861
_cell_angle_alpha 90.00
_cell_angle_beta 90.00
_cell_angle_gamma 120.00
_symmetry_space_group_name_H-M 'P 63/m m c'
_symmetry_Int_Tables_number 194
_symmetry_space_group_name_Hall '-P 6c 2c'
loop_
_atom_site_label
_atom_site_type_symbol
_atom_site_fract_x
_atom_site_fract_y
_atom_site_fract_z
Ac1 Ac 0.3333 0.6667 0.2500
U1 U 0.0000 0.0000 0.0000
As1 As 0.3333 0.6667 0.6095

Entry 9:
# AcUAs2, optimized geometry, DFT PBE-GGA
# Formation enthalpy at 0 K   -799 meV per atom
# Density of states at the Fermi level   4.0 states/eV/f.u.
data_AcUAs2
_chemical_formula_sum 'Ac1 U1 As2'
_cell_length_a 3.656
_cell_length_b 3.656
_cell_length_c 7.416
_cell_angle_alpha 90.00
_cell_angle_beta 90.00
_cell_angle_gamma 90.00
_symmetry_space_group_name_H-M 'P 4/m m m'
_symmetry_Int_Tables_number 123
_symmetry_space_group_name_Hall '-P 4 2'
loop_
_atom_site_label
_atom_site_type_symbol
_atom_site_fract_x
_atom_site_fract_y
_atom_site_fract_z
Ac1 Ac 0.000 0.000 0.000
U1 U 0.000 0.000 0.500
As1 As 0.500 0.500 0.277

Entry 10:
# AcVAs2, optimized geometry, DFT PBE-GGA
# Formation enthalpy at 0 K   -376 meV per atom
# Density of states at the Fermi level   3.8 states/eV/f.u.
data_AcVAs2
_chemical_formula_sum 'Ac1 V1 As2'
_cell_length_a 3.391
_cell_length_b 3.391
_cell_length_c 7.255
_cell_angle_alpha 90.00
_cell_angle_beta 90.00
_cell_angle_gamma 90.00
_symmetry_space_group_name_H-M 'P 4/m m m'
_symmetry_Int_Tables_number 123
_symmetry_space_group_name_Hall '-P 4 2'
loop_
_atom_site_label
_atom_site_type_symbol
_atom_site_fract_x
_atom_site_fract_y
_atom_site_fract_z
Ac1 Ac 0.000 0.000 0.000
V1 V 0.000 0.000 0.500
As1 As 0.500 0.500 0.309

Entry 11:
# AcVAs3, optimized geometry, DFT PBE-GGA
# Formation enthalpy at 0 K   -576 meV per atom
# Density of states at the Fermi level   4.2 states/eV/f.u.
data_AcVAs3
_chemical_formula_sum 'Ac1 V1 As3'
_cell_length_a 4.863
_cell_length_b 4.863
_cell_length_c 4.863
_cell_angle_alpha 90.00
_cell_angle_beta 90.00
_cell_angle_gamma 90.00
_symmetry_space_group_name_H-M 'P m -3 m'
_symmetry_Int_Tables_number 221
_symmetry_space_group_name_Hall '-P 4 2 3'
loop_
_atom_site_label
_atom_site_type_symbol
_atom_site_fract_x
_atom_site_fract_y
_atom_site_fract_z
Ac1 Ac 0.000 0.000 0.000
V1 V 0.500 0.500 0.500
As1 As 0.000 0.500 0.500

Entry 12:
# AcVAs2, optimized geometry, DFT PBE-GGA
# Formation enthalpy at 0 K   -413 meV per atom
# Density of states at the Fermi level   2.2 states/eV/f.u.
data_AcVAs2
_chemical_formula_sum 'Ac4 V4 As8'
_cell_length_a 7.147
_cell_length_b 7.147
_cell_length_c 7.147
_cell_angle_alpha 90.00
_cell_angle_beta 90.00
_cell_angle_gamma 90.00
_symmetry_space_group_name_H-M 'F m -3 m'
_symmetry_Int_Tables_number 225
_symmetry_space_group_name_Hall '-F 4 2 3'
loop_
_atom_site_label
_atom_site_type_symbol
_atom_site_fract_x
_atom_site_fract_y
_atom_site_fract_z
Ac1 Ac 0.000 0.000 0.000
V1 V 0.000 0.000 0.500
As1 As 0.250 0.250 0.250

Entry 13:
# AcVAs, optimized geometry, DFT PBE-GGA
# Formation enthalpy at 0 K   -204 meV per atom
# Density of states at the Fermi level   2.4 states/eV/f.u.
data_AcVAs
_chemical_formula_sum 'Ac2 V2 As2'
_cell_length_a 3.452
_cell_length_b 3.452
_cell_length_c 11.486
_cell_angle_alpha 90.00
_cell_angle_beta 90.00
_cell_angle_gamma 90.00
_symmetry_space_group_name_H-M 'I 4 m m'
_symmetry_Int_Tables_number 107
_symmetry_space_group_name_Hall 'I 4 -2'
loop_
_atom_site_label
_atom_site_type_symbol
_atom_site_fract_x
_atom_site_fract_y
_atom_site_fract_z
Ac1 Ac 0.000 0.000 0.000
V1 V 0.000 0.000 0.297
As1 As 0.000 0.000 0.718

Entry 14:
# AcVAs, optimized geometry, DFT PBE-GGA
# Formation enthalpy at 0 K   -84 meV per atom
# Density of states at the Fermi level   3.6 states/eV/f.u.
data_AcVAs
_chemical_formula_sum 'Ac6 V6 As6'
_cell_length_a 5.2164
_cell_length_b 5.2164
_cell_length_c 23.8803
_cell_angle_alpha 90.00
_cell_angle_beta 90.00
_cell_angle_gamma 120.00
_symmetry_space_group_name_H-M 'R -3 m'
_symmetry_Int_Tables_number 166
_symmetry_space_group_name_Hall '-R 3 2"'
loop_
_atom_site_label
_atom_site_type_symbol
_atom_site_fract_x
_atom_site_fract_y
_atom_site_fract_z
Ac1 Ac 0.0000 0.0000 0.0904
V1 V 0.0000 0.0000 0.3249
As1 As 0.0000 0.0000 0.2222

Entry 15:
# AcVAs2, optimized geometry, DFT PBE-GGA
# Formation enthalpy at 0 K   -738 meV per atom
# Density of states at the Fermi level   4.3 states/eV/f.u.
data_AcVAs2
_chemical_formula_sum 'Ac3 V3 As6'
_cell_length_a 4.1227
_cell_length_b 4.1227
_cell_length_c 19.3629
_cell_angle_alpha 90.00
_cell_angle_beta 90.00
_cell_angle_gamma 120.00
_symmetry_space_group_name_H-M 'R -3 m'
_symmetry_Int_Tables_number 166
_symmetry_space_group_name_Hall '-R 3 2"'
loop_
_atom_site_label
_atom_site_type_symbol
_atom_site_fract_x
_atom_site_fract_y
_atom_site_fract_z
Ac1 Ac 0.0000 0.0000 0.0000
V1 V 0.0000 0.0000 0.5000
As1 As 0.0000 0.0000 0.2287

Entry 16:
# AcVAs, optimized geometry, DFT PBE-GGA
# Formation enthalpy at 0 K   -425 meV per atom
# Density of states at the Fermi level   3.9 states/eV/f.u.
data_AcVAs
_chemical_formula_sum 'Ac1 V1 As1'
_cell_length_a 4.4404
_cell_length_b 4.4404
_cell_length_c 4.5424
_cell_angle_alpha 90.00
_cell_angle_beta 90.00
_cell_angle_gamma 120.00
_symmetry_space_group_name_H-M 'P -6 m 2'
_symmetry_Int_Tables_number 187
_symmetry_space_group_name_Hall 'P -6 2'
loop_
_atom_site_label
_atom_site_type_symbol
_atom_site_fract_x
_atom_site_fract_y
_atom_site_fract_z
Ac1 Ac 0.0000 0.0000 0.0000
V1 V 0.6667 0.3333 0.5000
As1 As 0.3333 0.6667 0.5000

Entry 17:
# AcAs3W, optimized geometry, DFT PBE-GGA
# Formation enthalpy at 0 K   -266 meV per atom
# Density of states at the Fermi level   5.9 states/eV/f.u.
data_AcAs3W
_chemical_formula_sum 'Ac1 As3 W1'
_cell_length_a 4.968
_cell_length_b 4.968
_cell_length_c 4.968
_cell_angle_alpha 90.00
_cell_angle_beta 90.00
_cell_angle_gamma 90.00
_symmetry_space_group_name_H-M 'P m -3 m'
_symmetry_Int_Tables_number 221
_symmetry_space_group_name_Hall '-P 4 2 3'
loop_
_atom_site_label
_atom_site_type_symbol
_atom_site_fract_x
_atom_site_fract_y
_atom_site_fract_z
Ac1 Ac 0.000 0.000 0.000
As1 As 0.000 0.500 0.500
W1 W 0.500 0.500 0.500

Entry 18:
# Ac2YAs3, optimized geometry, DFT PBE-GGA
# Formation enthalpy at 0 K   -1468 meV per atom
# Density of states at the Fermi level   0.7 states/eV/f.u.
data_Ac2YAs3
_chemical_formula_sum 'Ac32 Y16 As48'
_cell_length_a 8.820
_cell_length_b 12.492
_cell_length_c 26.490
_cell_angle_alpha 90.00
_cell_angle_beta 90.00
_cell_angle_gamma 90.00
_symmetry_space_group_name_H-M 'F d d d'
_symmetry_Int_Tables_number 70
loop_
_symmetry_equiv_pos_as_xyz
'x,y,z'
'-x,-y,-z'
'-x+1/4,-y+1/4,z'
'x+1/4,y+1/4,-z'
'x,-y+1/4,-z+1/4'
'-x,y+1/4,z+1/4'
'-x+1/4,y,-z+1/4'
'x+1/4,-y,z+1/4'
'x,y+1/2,z+1/2'
'-x,-y+1/2,-z+1/2'
'-x+1/4,-y+3/4,z+1/2'
'x+1/4,y+3/4,-z+1/2'
'x,-y+3/4,-z+3/4'
'-x,y+3/4,z+3/4'
'-x+1/4,y+1/2,-z+3/4'
'x+1/4,-y+1/2,z+3/4'
'x+1/2,y,z+1/2'
'-x+1/2,-y,-z+1/2'
'-x+3/4,-y+1/4,z+1/2'
'x+3/4,y+1/4,-z+1/2'
'x+1/2,-y+1/4,-z+3/4'
'-x+1/2,y+1/4,z+3/4'
'-x+3/4,y,-z+3/4'
'x+3/4,-y,z+3/4'
'x+1/2,y+1/2,z'
'-x+1/2,-y+1/2,-z'
'-x+3/4,-y+3/4,z'
'x+3/4,y+3/4,-z'
'x+1/2,-y+3/4,-z+1/4'
'-x+1/2,y+3/4,z+1/4'
'-x+3/4,y+1/2,-z+1/4'
'x+3/4,-y+1/2,z+1/4'
loop_
_atom_site_label
_atom_site_type_symbol
_atom_site_fract_x
_atom_site_fract_y
_atom_site_fract_z
Ac1 Ac 0.125 0.125 0.043
Ac2 Ac 0.125 0.125 0.374
Y1 Y 0.125 0.125 0.541
As1 As 0.108 0.375 0.875
As2 As 0.117 0.367 0.711

Entry 19:
# AcY5As6, optimized geometry, DFT PBE-GGA
# Formation enthalpy at 0 K   -1512 meV per atom
# Density of states at the Fermi level   1.0 states/eV/f.u.
data_AcY5As6
_chemical_formula_sum 'Ac2 Y10 As12'
_cell_length_a 7.282
_cell_length_b 12.607
_cell_length_c 7.278
_cell_angle_alpha 90.00
_cell_angle_beta 109.55
_cell_angle_gamma 90.00
_symmetry_space_group_name_H-M 'C 1 2/m 1'
_symmetry_Int_Tables_number 12
loop_
_symmetry_equiv_pos_as_xyz
'x,y,z'
'-x,-y,-z'
'-x,y,-z'
'x,-y,z'
'x+1/2,y+1/2,z'
'-x+1/2,-y+1/2,-z'
'-x+1/2,y+1/2,-z'
'x+1/2,-y+1/2,z'
loop_
_atom_site_label
_atom_site_type_symbol
_atom_site_fract_x
_atom_site_fract_y
_atom_site_fract_z
Ac1 Ac 0.000 0.000 0.000
Y1 Y 0.000 0.164 0.500
Y2 Y 0.000 0.333 0.000
Y3 Y 0.000 0.500 0.500
As1 As 0.240 0.500 0.256
As2 As 0.241 0.327 0.742

Entry 20:
# AcY4As5, optimized geometry, DFT PBE-GGA
# Formation enthalpy at 0 K   -1498 meV per atom
# Density of states at the Fermi level   1.4 states/eV/f.u.
data_AcY4As5
_chemical_formula_sum 'Ac2 Y8 As10'
_cell_length_a 4.204
_cell_length_b 5.990
_cell_length_c 21.084
_cell_angle_alpha 90.00
_cell_angle_beta 90.00
_cell_angle_gamma 90.00
_symmetry_space_group_name_H-M 'I m m m'
_symmetry_Int_Tables_number 71
_symmetry_space_group_name_Hall '-I 2 2'
loop_
_atom_site_label
_atom_site_type_symbol
_atom_site_fract_x
_atom_site_fract_y
_atom_site_fract_z
Ac1 Ac 0.000 0.000 0.000
Y1 Y 0.000 0.000 0.204
Y2 Y 0.000 0.000 0.397
As1 As 0.000 0.500 0.000
As2 As 0.000 0.500 0.199
As3 As 0.000 0.500 0.391